Record 1
DFT (PBE) results for crystalline Pm2HgIrO8 at its relaxed geometry.

The structure in CIF format:
```
data_Pm2HgIrO8
_cell_length_a 4.781
_cell_length_b 4.800
_cell_length_c 7.606
_cell_angle_alpha 93.29
_cell_angle_beta 93.28
_cell_angle_gamma 94.25
_symmetry_space_group_name_H-M 'P -1'
_symmetry_Int_Tables_number 2
loop_
_symmetry_equiv_pos_as_xyz
'x,y,z'
'-x,-y,-z'
loop_
_atom_site_label
_atom_site_type_symbol
_atom_site_fract_x
_atom_site_fract_y
_atom_site_fract_z
Pm1 Pm 0.056 0.055 0.251
Hg1 Hg 0.500 0.500 0.000
Ir1 Ir 0.500 0.500 0.500
O1 O 0.193 0.192 0.980
O2 O 0.220 0.222 0.549
O3 O 0.250 0.621 0.320
O4 O 0.377 0.751 0.679
```

***

Record 2
# TePt2Cl, relaxed, DFT PBE
data_TePt2Cl
_cell_length_a 4.218
_cell_length_b 4.218
_cell_length_c 8.427
_cell_angle_alpha 90.00
_cell_angle_beta 90.00
_cell_angle_gamma 90.00
_symmetry_space_group_name_H-M 'I -4 m 2'
_symmetry_Int_Tables_number 119
_symmetry_space_group_name_Hall 'I -4 -2'
loop_
_atom_site_label
_atom_site_type_symbol
_atom_site_fract_x
_atom_site_fract_y
_atom_site_fract_z
Te1 Te 0.000 0.000 0.000
Pt1 Pt 0.000 0.000 0.500
Pt2 Pt 0.000 0.500 0.250
Cl1 Cl 0.000 0.500 0.750
# Polymorph energy (0 for the lowest one) = 697 meV per atom

***

Record 3
DFT (PBE) results for crystalline Ba3Ca2NpN6 at its relaxed geometry.

The structure in CIF format:
```
data_Ba3Ca2NpN6
_cell_length_a 6.356
_cell_length_b 10.915
_cell_length_c 6.604
_cell_angle_alpha 90.00
_cell_angle_beta 108.36
_cell_angle_gamma 90.00
_symmetry_space_group_name_H-M 'C 1 2/m 1'
_symmetry_Int_Tables_number 12
loop_
_symmetry_equiv_pos_as_xyz
'x,y,z'
'-x,-y,-z'
'-x,y,-z'
'x,-y,z'
'x+1/2,y+1/2,z'
'-x+1/2,-y+1/2,-z'
'-x+1/2,y+1/2,-z'
'x+1/2,-y+1/2,z'
loop_
_atom_site_label
_atom_site_type_symbol
_atom_site_fract_x
_atom_site_fract_y
_atom_site_fract_z
Ba1 Ba 0.000 0.000 0.000
Ba2 Ba 0.000 0.329 0.000
Ca1 Ca 0.000 0.163 0.500
Np1 Np 0.000 0.500 0.500
N1 N 0.201 0.362 0.688
N2 N 0.219 0.500 0.286
```

***

Record 4
# Cs3SnO3, relaxed, DFT PBE
data_Cs3SnO3
_cell_length_a 9.141
_cell_length_b 15.811
_cell_length_c 6.309
_cell_angle_alpha 90.00
_cell_angle_beta 90.00
_cell_angle_gamma 90.00
_symmetry_space_group_name_H-M 'C m c m'
_symmetry_Int_Tables_number 63
_symmetry_space_group_name_Hall '-C 2c 2'
loop_
_atom_site_label
_atom_site_type_symbol
_atom_site_fract_x
_atom_site_fract_y
_atom_site_fract_z
Cs1 Cs 0.000 0.172 0.250
Cs2 Cs 0.241 0.414 0.250
Sn1 Sn 0.000 0.333 0.750
O1 O 0.000 0.207 0.750
O2 O 0.189 0.397 0.750
# Polymorph energy (0 for the lowest one) = 66 meV per atom

***

Per-record DFT total energy, eV per atom: -6.496; -3.810; -6.761; -4.263
Per-record density, g cm⁻³: 7.8; 12.3; 6.2; 4.1
Per-record M_tot, μB/f.u.: 0.000; 0.000; 0.866; 0.000